## V3As2 (GGA-PBEsol)

Data for crystalline V3As2 at its relaxed geometry.

Lattice parameters (Å, degrees): 3.246 9.311 9.311 90.00 90.00 90.00
Element x y z (fractional)
As (0.000, 0.713, 0.036)
As (0.000, 0.964, 0.713)
As (0.000, 0.036, 0.287)
As (0.000, 0.287, 0.964)
As (0.500, 0.590, 0.755)
As (0.500, 0.755, 0.410)
As (0.500, 0.410, 0.245)
As (0.500, 0.245, 0.590)
V (0.000, 0.717, 0.602)
V (0.500, 0.865, 0.177)
V (0.500, 0.500, 0.500)
V (0.500, 0.000, 0.500)
V (0.000, 0.000, 0.000)
V (0.000, 0.398, 0.717)
V (0.500, 0.823, 0.865)
V (0.500, 0.500, 0.000)
V (0.000, 0.283, 0.398)
V (0.000, 0.602, 0.283)
V (0.500, 0.135, 0.823)
V (0.500, 0.177, 0.135)

Summary:
formation energy = -0.5251 eV per atom
spin magnetization = 2.5 μB/cell
SG = P4/m, No. 83
ρ = 7.14 Mg/m³
DOS at the Fermi energy = 3.62 states/eV/f.u.